[1]
4
Lattice="5.313 -1.616 0.000 5.313 1.616 0.000 -1.751 0.000 4.421" Properties=species:S:1:pos:R:3 comment="YTlRu2, optimized geometry, DFT PBE" formation_energy_kj_per_mol_atoms=8.0 pbc="T T T"
Y 0.000 0.000 0.000
Tl 1.199 0.000 2.881
Ru 4.158 0.000 2.177
Ru 7.803 0.000 0.804

---

[2]
4
Lattice="3.242 0.000 0.000 0.000 4.492 0.000 -0.458 0.000 5.800" Properties=species:S:1:pos:R:3 comment="YTlRu2, optimized geometry, DFT PBE" formation_energy_kj_per_mol_atoms=25.9 pbc="T T T"
Y 0.000 0.000 0.000
Tl 1.392 0.000 2.900
Ru 1.065 2.246 4.624
Ru 1.719 2.246 1.176

---

[3]
3
Lattice="0.000 3.392 3.392 3.392 0.000 3.392 3.392 3.392 0.000" Properties=species:S:1:pos:R:3 comment="YTlRu, optimized geometry, DFT PBE" formation_energy_kj_per_mol_atoms=59.1 pbc="T T T"
Y 0.000 0.000 0.000
Tl 1.696 1.696 1.696
Ru 5.087 5.087 5.087

---

[4]
8
Lattice="-4.079 4.079 3.059 4.079 -4.079 3.059 4.079 4.079 -3.059" Properties=species:S:1:pos:R:3 comment="Y2TlRu, optimized geometry, DFT PBE" formation_energy_kj_per_mol_atoms=3.0 pbc="T T T"
Y 6.118 1.540 -0.765
Y 1.540 2.039 0.765
Y -2.039 2.539 2.294
Y 2.539 2.039 3.824
Tl 4.079 0.000 1.529
Tl 0.000 0.000 3.059
Ru 0.000 0.000 0.000
Ru 0.000 4.079 1.529

---

[5]
16
Lattice="7.790 0.000 0.000 0.000 12.180 0.000 0.000 0.000 4.659" Properties=species:S:1:pos:R:3 comment="Y5Tl2Ru, optimized geometry, DFT PBE" formation_energy_kj_per_mol_atoms=-34.3 pbc="T T T"
Y 0.000 0.000 0.000
Y 1.100 3.621 0.000
Y 1.420 6.972 2.329
Y 2.475 0.882 2.329
Y 2.795 9.711 0.000
Y 3.895 6.090 0.000
Y 4.995 2.469 0.000
Y 5.315 11.298 2.329
Y 6.371 5.208 2.329
Y 6.690 8.560 0.000
Tl 0.577 10.127 2.329
Tl 3.318 4.037 2.329
Tl 4.473 8.144 2.329
Tl 7.213 2.054 2.329
Ru 0.000 6.090 0.000
Ru 3.895 0.000 0.000

---

[6]
4
Lattice="3.417 0.000 0.000 0.000 3.417 0.000 0.000 0.000 6.492" Properties=species:S:1:pos:R:3 comment="YTlRu2, optimized geometry, DFT PBE" formation_energy_kj_per_mol_atoms=14.1 pbc="T T T"
Y 0.000 0.000 0.000
Tl 0.000 0.000 3.246
Ru 1.709 1.709 1.732
Ru 1.709 1.709 4.760